Below is a relaxed structure of Ni2BiO, with properties calculated at the GGA+U level.

a b c (Å): 4.858 4.858 6.579
angles (deg): 68.33 68.33 90.00
Each line ends with the local moment (μB).
Positions (direct):
O 0.500 0.500 0.000  -0.20
O 0.250 0.750 0.500  -0.20
Bi 0.000 0.000 0.000  -0.20
Bi 0.750 0.250 0.500  -0.20
Ni 0.390 0.125 0.250  0.58
Ni 0.875 0.640 0.750  0.62
Ni 0.360 0.625 0.250  0.57
Ni 0.375 0.610 0.750  0.62

- SG = I-42d
- calculated total energy (eV/atom) = -3.455
- polymorph energy (0 for the lowest one) (eV/f.u.) = 0.00